{
  "formula": "SmDyPa",
  "functional": "GGA-PBE",
  "state": "optimized geometry",
  "lattice_angstrom": [[3.4423, 0.0000, 0.0000], [-1.7211, 2.9811, 0.0000], [0.0000, 0.0000, 8.6210]],
  "species": ["Dy", "Sm", "Pa"],
  "fractional_positions": [[0.3333, 0.6667, 0.6827], [0.6667, 0.3333, 0.3191], [0.0000, 0.0000, 0.9981]],
  "e_form_ev_per_atom": 0.142,
  "sg": "P3m1 (156)",
  "polymorph_energy_mev_per_atom": 0
}

{
  "formula": "SmDyPa",
  "functional": "GGA-PBE",
  "state": "optimized geometry",
  "lattice_angstrom": [[-2.2571, 1.1786, -2.2621], [-2.5366, -0.7202, 2.1558], [3.0013, 6.8007, 3.1126]],
  "species": ["Dy", "Sm", "Pa"],
  "fractional_positions": [[0.6786, 0.6786, 0.3571], [0.9892, 0.9892, 0.9784], [0.3322, 0.3322, 0.6644]],
  "e_form_ev_per_atom": 0.164,
  "sg": "I4mm (107)",
  "polymorph_energy_mev_per_atom": 22
}

{
  "formula": "DyPa2Sn9",
  "functional": "GGA-PBE",
  "state": "optimized geometry",
  "lattice_angstrom": [[4.6611, 0.0000, 0.0000], [0.0000, 4.6611, 0.0000], [0.0000, 0.0000, 14.0121]],
  "species": ["Sn", "Sn", "Sn", "Sn", "Sn", "Sn", "Sn", "Sn", "Sn", "Pa", "Pa", "Dy"],
  "fractional_positions": [[0.5000, 0.0000, 0.8311], [0.5000, 0.0000, 0.5000], [0.0000, 0.5000, 0.8311], [0.5000, 0.5000, 0.3342], [0.0000, 0.5000, 0.5000], [0.0000, 0.5000, 0.1689], [0.5000, 0.0000, 0.1689], [0.5000, 0.5000, 0.6658], [0.5000, 0.5000, 0.0000], [0.0000, 0.0000, 0.6630], [0.0000, 0.0000, 0.3370], [0.0000, 0.0000, 0.0000]],
  "e_form_ev_per_atom": -0.334,
  "sg": "P4/mmm (123)"
}

{
  "formula": "DyThPaSn",
  "functional": "GGA-PBE",
  "state": "optimized geometry",
  "lattice_angstrom": [[-3.2849, -4.2809, 0.3842], [2.0636, -5.0006, 0.0096], [-0.0795, -2.9502, 4.5337]],
  "species": ["Dy", "Sn", "Pa", "Th"],
  "fractional_positions": [[0.0000, 0.0000, 0.0000], [0.2500, 0.2500, 0.2500], [0.7500, 0.7500, 0.7500], [0.5000, 0.5000, 0.5000]],
  "e_form_ev_per_atom": 0.039,
  "sg": "F-43m (216)"
}

{
  "formula": "DyPaTlSn",
  "functional": "GGA-PBE",
  "state": "optimized geometry",
  "lattice_angstrom": [[5.3482, 0.0000, 0.0000], [2.6741, 4.6317, 0.0000], [2.6741, 1.5439, 4.3668]],
  "species": ["Tl", "Pa", "Dy", "Sn"],
  "fractional_positions": [[0.7500, 0.7500, 0.7500], [0.5000, 0.5000, 0.5000], [0.0000, 0.0000, 0.0000], [0.2500, 0.2500, 0.2500]],
  "e_form_ev_per_atom": -0.117,
  "sg": "F-43m (216)"
}

{
  "formula": "DyTmPaSn",
  "functional": "GGA-PBE",
  "state": "optimized geometry",
  "lattice_angstrom": [[5.3091, 0.0000, 0.0000], [2.6545, 4.5978, 0.0000], [2.6545, 1.5326, 4.3348]],
  "species": ["Tm", "Dy", "Sn", "Pa"],
  "fractional_positions": [[0.5000, 0.5000, 0.5000], [0.0000, 0.0000, 0.0000], [0.2500, 0.2500, 0.2500], [0.7500, 0.7500, 0.7500]],
  "e_form_ev_per_atom": 0.023,
  "sg": "F-43m (216)"
}

{
  "formula": "DyPaZnSn",
  "functional": "GGA-PBE",
  "state": "optimized geometry",
  "lattice_angstrom": [[5.1956, 0.0000, 0.0000], [2.5978, 4.4995, 0.0000], [2.5978, 1.4998, 4.2422]],
  "species": ["Zn", "Dy", "Pa", "Sn"],
  "fractional_positions": [[0.2500, 0.2500, 0.2500], [0.5000, 0.5000, 0.5000], [0.0000, 0.0000, 0.0000], [0.7500, 0.7500, 0.7500]],
  "e_form_ev_per_atom": -0.152,
  "sg": "F-43m (216)"
}

{
  "formula": "SrDy2Pa",
  "functional": "GGA-PBE",
  "state": "optimized geometry",
  "lattice_angstrom": [[-2.7910, -0.4933, 2.0725], [-3.1115, -0.8129, -1.4094], [0.7844, -12.4404, 1.0697]],
  "species": ["Dy", "Dy", "Sr", "Pa"],
  "fractional_positions": [[0.9052, 0.9052, 0.2845], [0.0948, 0.0948, 0.7155], [0.0000, 0.0000, 0.0000], [0.5000, 0.5000, 0.5000]],
  "e_form_ev_per_atom": 0.298,
  "sg": "R-3m (166)"
}

{
  "formula": "DyPaTa",
  "functional": "GGA-PBE",
  "state": "optimized geometry",
  "lattice_angstrom": [[-0.2041, 2.5319, -3.8864], [-0.7022, -3.8622, -2.4792], [-7.3693, 0.7696, 0.8884]],
  "species": ["Ta", "Ta", "Dy", "Dy", "Pa", "Pa"],
  "fractional_positions": [[0.5000, 0.5000, 0.5000], [0.0000, 0.0000, 0.5000], [0.5000, 0.0000, 0.1836], [0.0000, 0.5000, 0.8164], [0.5000, 0.0000, 0.7195], [0.0000, 0.5000, 0.2805]],
  "e_form_ev_per_atom": 0.542,
  "sg": "P4/nmm (129)"
}

{
  "formula": "Dy2PaTa",
  "functional": "GGA-PBE",
  "state": "optimized geometry",
  "lattice_angstrom": [[-0.0486, 1.9904, 2.5131], [2.0842, -0.4011, 2.4032], [8.1836, 7.4691, -3.7121]],
  "species": ["Dy", "Dy", "Ta", "Pa"],
  "fractional_positions": [[0.9149, 0.9149, 0.2552], [0.0851, 0.0851, 0.7448], [0.0000, 0.0000, 0.0000], [0.5000, 0.5000, 0.5000]],
  "e_form_ev_per_atom": 0.590,
  "sg": "R-3m (166)"
}

{
  "formula": "TbDyPa",
  "functional": "GGA-PBE",
  "state": "optimized geometry",
  "lattice_angstrom": [[5.4856, 0.0000, 0.0000], [0.0000, 8.4678, 0.0000], [0.0000, 0.0000, 8.4678]],
  "species": ["Pa", "Pa", "Pa", "Pa", "Tb", "Tb", "Tb", "Tb", "Dy", "Dy", "Dy", "Dy"],
  "fractional_positions": [[0.0000, 0.5000, 0.6570], [0.5000, 0.3430, 0.5000], [0.5000, 0.6570, 0.5000], [0.0000, 0.5000, 0.3430], [0.5000, 0.5000, 0.8346], [0.0000, 0.8346, 0.5000], [0.5000, 0.5000, 0.1654], [0.0000, 0.1654, 0.5000], [0.5000, 0.0000, 0.2288], [0.0000, 0.2288, 0.0000], [0.5000, 0.0000, 0.7712], [0.0000, 0.7712, 0.0000]],
  "e_form_ev_per_atom": 0.495,
  "sg": "P4_2/mmc (131)",
  "polymorph_energy_mev_per_atom": 371
}

{
  "formula": "TbDyPa",
  "functional": "GGA-PBE",
  "state": "optimized geometry",
  "lattice_angstrom": [[3.4270, 0.0000, 0.0000], [-1.7135, 2.9678, 0.0000], [0.0000, 0.0000, 8.5457]],
  "species": ["Dy", "Tb", "Pa"],
  "fractional_positions": [[0.3333, 0.6667, 0.6808], [0.6667, 0.3333, 0.3196], [0.0000, 0.0000, 0.9996]],
  "e_form_ev_per_atom": 0.124,
  "sg": "P3m1 (156)",
  "polymorph_energy_mev_per_atom": 0
}

| no. | energy (eV per atom) | spin magnetization (μB/f.u.) |
| --- | --- | --- |
| 1 | -6.131 | 0.0 |
| 2 | -6.109 | 0.0 |
| 3 | -5.303 | 0.0 |
| 4 | -6.342 | 2.0 |
| 5 | -5.234 | 1.9 |
| 6 | -5.620 | 1.4 |
| 7 | -4.996 | 1.5 |
| 8 | -4.798 | 0.0 |
| 9 | -8.108 | 0.0 |
| 10 | -7.048 | 0.4 |
| 11 | -5.747 | 0.0 |
| 12 | -6.119 | 0.0 |